one | A geometry-optimized TcSb3N structure, computed with PBE-GGA.

Cell and atoms, written as CIF:
```
data_TcSb3N
_chemical_formula_sum 'Tc1 Sb3 N1'
_cell_length_a 5.0546
_cell_length_b 5.0546
_cell_length_c 5.0546
_cell_angle_alpha 90.00
_cell_angle_beta 90.00
_cell_angle_gamma 90.00
_symmetry_space_group_name_H-M 'P m -3 m'
_symmetry_Int_Tables_number 221
_symmetry_space_group_name_Hall '-P 4 2 3'
loop_
_atom_site_label
_atom_site_fract_x
_atom_site_fract_y
_atom_site_fract_z
_atom_site_occupancy
Tc1 0.0000 0.0000 0.0000 1
Sb1 0.0000 0.0000 0.5000 1
N1 0.5000 0.5000 0.5000 1
```

Calculated values
As for the mass density: 6.1 g/cm3.

=====

two | A geometry-optimized TcSb3N structure, computed with PBE-GGA.

Cell and atoms, written as CIF:
```
data_TcSb3N
_chemical_formula_sum 'Tc1 Sb3 N1'
_cell_length_a 4.6392
_cell_length_b 4.6392
_cell_length_c 4.6392
_cell_angle_alpha 90.00
_cell_angle_beta 90.00
_cell_angle_gamma 90.00
_symmetry_space_group_name_H-M 'P m -3 m'
_symmetry_Int_Tables_number 221
_symmetry_space_group_name_Hall '-P 4 2 3'
loop_
_atom_site_label
_atom_site_fract_x
_atom_site_fract_y
_atom_site_fract_z
_atom_site_occupancy
Tc1 0.0000 0.0000 0.0000 1
Sb1 0.0000 0.5000 0.5000 1
N1 0.5000 0.5000 0.5000 1
```

Calculated values
As for the mass density: 7.9 g/cm3.

=====

Verdict on stability: two comes out on top.

=====

one | A geometry-optimized SbTe2N2 structure, computed with PBE-GGA.

Cell and atoms, written as CIF:
```
data_SbTe2N2
_chemical_formula_sum 'Sb1 Te2 N2'
_cell_length_a 4.1499
_cell_length_b 4.1499
_cell_length_c 6.9932
_cell_angle_alpha 90.00
_cell_angle_beta 90.00
_cell_angle_gamma 90.00
_symmetry_space_group_name_H-M 'P 4/m m m'
_symmetry_Int_Tables_number 123
_symmetry_space_group_name_Hall '-P 4 2'
loop_
_atom_site_label
_atom_site_fract_x
_atom_site_fract_y
_atom_site_fract_z
_atom_site_occupancy
Sb1 0.0000 0.0000 0.0000 1
Te1 0.0000 0.0000 0.5000 1
Te2 0.5000 0.5000 0.5000 1
N1 0.0000 0.5000 0.0000 1
```

Calculated values
As for the mass density: 5.6 g/cm3.

=====

two | A geometry-optimized SbTe2N2 structure, computed with PBE-GGA.

Cell and atoms, written as CIF:
```
data_SbTe2N2
_chemical_formula_sum 'Sb1 Te2 N2'
_cell_length_a 4.1474
_cell_length_b 4.1474
_cell_length_c 6.8276
_cell_angle_alpha 90.00
_cell_angle_beta 90.00
_cell_angle_gamma 90.00
_symmetry_space_group_name_H-M 'P 4/m m m'
_symmetry_Int_Tables_number 123
_symmetry_space_group_name_Hall '-P 4 2'
loop_
_atom_site_label
_atom_site_fract_x
_atom_site_fract_y
_atom_site_fract_z
_atom_site_occupancy
Sb1 0.0000 0.0000 0.0000 1
Te1 0.5000 0.5000 0.0000 1
Te2 0.5000 0.5000 0.5000 1
N1 0.0000 0.5000 0.5000 1
```

Calculated values
As for the mass density: 5.7 g/cm3.

=====

Verdict on stability: one comes out on top.